This record from the Alexandria database describes an optimized crystal structure of LaScSb2. The functional is PBE.

Computed properties:
**Space-group type**: P4/mmm, No. 123
**Calculated density**: 5.77 g cm⁻³
**Energy relative to the elements, uncorrected**: -0.99 eV per atom
**E above lowest polymorph**: 38 kJ/mol of formula units

Cell lengths 4.4372, 4.4372, 6.2418 Å; angles 90.00, 90.00, 90.00 degrees
Closest atoms and distances in Å follow each position.
Element x y z (fractional)
1 La 0.0000 0.0000 0.0000  6 Sb 3.12-3.14
2 Sc 0.5000 0.5000 0.5000  6 Sb 3.12-3.14
3 Sb 0.0000 0.0000 0.5000  2 La 3.12, 4 Sc 3.14
4 Sb 0.5000 0.5000 0.0000  2 Sc 3.12, 4 La 3.14

This record from the Alexandria database describes an optimized crystal structure of Pr4Dy2Pb3O2. The functional is PBE.

Computed properties:
**Space-group type**: I4/mmm, No. 139
**Calculated density**: 8.36 g cm⁻³
**Energy relative to the elements, uncorrected**: -1.33 eV per atom

Cell lengths 13.3977, 13.3977, 13.3977 Å; angles 159.08, 159.08, 29.75 degrees
Closest atoms and distances in Å follow each position.
Element x y z (fractional)
1 Pr 0.0846 0.5846 0.5000  2 O 2.50
2 Pr 0.4154 0.9154 0.5000  2 O 2.50
3 Pr 0.5846 0.0846 0.5000  2 O 2.50
4 Pr 0.9154 0.4154 0.5000  2 O 2.50
5 Dy 0.1938 0.1938 0.0000  1 O 2.23
6 Dy 0.8062 0.8062 0.0000  1 O 2.23
7 Pb 0.3180 0.3180 0.0000  5 Dy 3.22-3.45, 4 Pr 3.50
8 Pb 0.5000 0.5000 0.0000  8 Pr 3.27
9 Pb 0.6820 0.6820 0.0000  5 Dy 3.22-3.45, 4 Pr 3.50
10 O 0.1077 0.1077 0.0000  1 Dy 2.23
11 O 0.8923 0.8923 0.0000  1 Dy 2.23

This record from the Alexandria database describes an optimized crystal structure of LaNiRh2. The functional is PBE.

Computed properties:
**Space-group type**: I-4m2, No. 119
**Calculated formation energy**: -0.20 eV per atom
**Calculated density**: 9.73 g cm⁻³
**E above lowest polymorph**: 121 kJ/mol of formula units

Cell lengths 4.1387, 4.1387, 8.0357 Å; angles 90.00, 90.00, 90.00 degrees
Closest atoms and distances in Å follow each position.
Element x y z (fractional)
1 La 0.0000 0.0000 0.0000  4 Ni 2.88, 8 Rh 2.88-2.93
2 La 0.5000 0.5000 0.5000  4 Ni 2.88, 8 Rh 2.88-2.93
3 Ni 0.0000 0.5000 0.2500  4 La 2.88, 8 Rh 2.88-2.93
4 Ni 0.5000 0.0000 0.7500  4 La 2.88, 8 Rh 2.88-2.93
5 Rh 0.0000 0.0000 0.5000  4 Ni 2.88, 4 Rh 2.88, 4 La 2.93
6 Rh 0.0000 0.5000 0.7500  4 La 2.88, 4 Rh 2.88, 4 Ni 2.93
7 Rh 0.5000 0.0000 0.2500  4 La 2.88, 4 Rh 2.88, 4 Ni 2.93
8 Rh 0.5000 0.5000 0.0000  4 Ni 2.88, 4 Rh 2.88, 4 La 2.93

This record from the Alexandria database describes an optimized crystal structure of Zn2CoCu2. The functional is PBE.

Computed properties:
**Space-group type**: P4/mbm, No. 127
**Calculated formation energy**: 0.14 eV per atom
**Calculated density**: 8.05 g cm⁻³
**E above lowest polymorph**: 49 kJ/mol of formula units

Cell lengths 7.0197, 7.0197, 2.6525 Å; angles 90.00, 90.00, 90.00 degrees
Closest atoms and distances in Å follow each position.
Element x y z (fractional)
1 Zn 0.1736 0.3264 0.0000  6 Cu 2.40-2.51, 2 Zn 2.65
2 Zn 0.3264 0.8264 0.0000  6 Cu 2.40-2.51, 2 Zn 2.65
3 Zn 0.6736 0.1736 0.0000  6 Cu 2.40-2.51, 2 Zn 2.65
4 Zn 0.8264 0.6736 0.0000  6 Cu 2.40-2.51, 2 Zn 2.65
5 Co 0.0000 0.0000 0.5000  2 Co 2.65, 4 Cu 2.77, 8 Zn 2.91
6 Co 0.5000 0.5000 0.5000  2 Co 2.65, 4 Cu 2.77, 8 Zn 2.91
7 Cu 0.1253 0.6253 0.5000  6 Zn 2.40-2.51, 3 Cu 2.49-2.65
8 Cu 0.3747 0.1253 0.5000  6 Zn 2.40-2.51, 3 Cu 2.49-2.65
9 Cu 0.6253 0.8747 0.5000  6 Zn 2.40-2.51, 3 Cu 2.49-2.65
10 Cu 0.8747 0.3747 0.5000  6 Zn 2.40-2.51, 3 Cu 2.49-2.65

Which of these has the highest calculated density?
LaNiRh2